No. 1
Computed, not measured: crystalline CeErPdPb at its relaxed geometry at the PBE level of DFT.

## Properties
Volume   103.5 Å³/cell
Formation energy from the elements   -494 meV/atom

Cell: 5.2700 5.2700 5.2700 Å, 60.00 60.00 60.00°
Closest atoms and distances in Å follow each position.
Atoms (fractional coordinates):
Ce1 0.0000 0.0000 0.0000  4 Pb 3.23, 4 Pd 3.23
Er1 0.5000 0.5000 0.5000  4 Pb 3.23, 4 Pd 3.23
Pd1 0.2500 0.2500 0.2500  4 Er 3.23, 4 Ce 3.23
Pb1 0.7500 0.7500 0.7500  4 Ce 3.23, 4 Er 3.23

=====

No. 2
Computed, not measured: crystalline CeErPtPb at its relaxed geometry at the PBE level of DFT.

## Properties
Volume   102.0 Å³/cell
Formation energy from the elements   -623 meV/atom

Cell: 5.2437 5.2437 5.2437 Å, 60.00 60.00 60.00°
Closest atoms and distances in Å follow each position.
Atoms (fractional coordinates):
Ce1 0.0000 0.0000 0.0000  4 Pb 3.21, 4 Pt 3.21
Er1 0.5000 0.5000 0.5000  4 Pb 3.21, 4 Pt 3.21
Pt1 0.7500 0.7500 0.7500  4 Ce 3.21, 4 Er 3.21
Pb1 0.2500 0.2500 0.2500  4 Er 3.21, 4 Ce 3.21

=====

No. 3
Computed, not measured: crystalline CeErPuPb at its relaxed geometry at the PBE level of DFT.

## Properties
Volume   109.3 Å³/cell
Formation energy from the elements   -29 meV/atom

Cell: 5.3672 5.3672 5.3672 Å, 60.00 60.00 60.00°
Closest atoms and distances in Å follow each position.
Atoms (fractional coordinates):
Ce1 0.0000 0.0000 0.0000  4 Er 3.29, 4 Pu 3.29
Er1 0.7500 0.7500 0.7500  4 Pb 3.29, 4 Ce 3.29
Pu1 0.2500 0.2500 0.2500  4 Pb 3.29, 4 Ce 3.29
Pb1 0.5000 0.5000 0.5000  4 Er 3.29, 4 Pu 3.29

=====

No. 4
Computed, not measured: crystalline CeEr4PbS8 at its relaxed geometry at the PBE level of DFT.

## Properties
Raw formation energy   -1738.4 meV per atom
Volume   383.1 Å³/cell

Cell: 8.2489 8.2489 8.2489 Å, 58.48 58.48 58.48°
Closest atoms and distances in Å follow each position.
Atoms (fractional coordinates):
Ce1 0.0000 0.0000 0.0000  6 S 2.81-2.90
Er1 0.9996 0.9996 0.4940  6 S 2.68-2.81
Er2 0.9996 0.4940 0.9996  6 S 2.68-2.81
Er3 0.4940 0.9996 0.9996  6 S 2.68-2.81
Er4 0.6243 0.6243 0.6243  4 S 2.61-2.68
Pb1 0.3703 0.3703 0.3703  4 S 2.76-2.83
S1 0.2291 0.7491 0.7491  3 Er 2.61-2.79, 1 Ce 2.90
S2 0.2320 0.2320 0.2320  3 Er 2.68, 1 Pb 2.83
S3 0.2424 0.2424 0.7868  2 Er 2.68, 1 Pb 2.76, 1 Ce 2.81
S4 0.2424 0.7868 0.2424  2 Er 2.68, 1 Pb 2.76, 1 Ce 2.81
S5 0.7491 0.2291 0.7491  3 Er 2.61-2.79, 1 Ce 2.90
S6 0.7491 0.7491 0.2291  3 Er 2.61-2.79, 1 Ce 2.90
S7 0.7556 0.7556 0.7556  4 Er 2.68-2.81
S8 0.7868 0.2424 0.2424  2 Er 2.68, 1 Pb 2.76, 1 Ce 2.81

=====

No. 5
Computed, not measured: crystalline CeErScPb at its relaxed geometry at the PBE level of DFT.

## Properties
Volume   104.5 Å³/cell
Formation energy from the elements   -54 meV/atom

Cell: 5.2864 5.2864 5.2864 Å, 60.00 60.00 60.00°
Closest atoms and distances in Å follow each position.
Atoms (fractional coordinates):
Ce1 0.0000 0.0000 0.0000  4 Er 3.24, 4 Sc 3.24
Er1 0.2500 0.2500 0.2500  4 Ce 3.24, 4 Pb 3.24
Sc1 0.7500 0.7500 0.7500  4 Pb 3.24, 4 Ce 3.24
Pb1 0.5000 0.5000 0.5000  4 Er 3.24, 4 Sc 3.24

=====

No. 6
Computed, not measured: crystalline CeErThPb at its relaxed geometry at the PBE level of DFT.

## Properties
Volume   117.0 Å³/cell
Formation energy from the elements   24 meV/atom

Cell: 5.4904 5.4904 5.4904 Å, 60.00 60.00 60.00°
Closest atoms and distances in Å follow each position.
Atoms (fractional coordinates):
Ce1 0.0000 0.0000 0.0000  4 Th 3.36, 4 Er 3.36
Er1 0.2500 0.2500 0.2500  4 Ce 3.36, 4 Pb 3.36
Th1 0.7500 0.7500 0.7500  4 Pb 3.36, 4 Ce 3.36
Pb1 0.5000 0.5000 0.5000  4 Th 3.36, 4 Er 3.36

=====

No. 7
Computed, not measured: crystalline CeErTmPb at its relaxed geometry at the PBE level of DFT.

## Properties
Volume   111.3 Å³/cell
Formation energy from the elements   -26 meV/atom

Cell: 5.3986 5.3986 5.3986 Å, 60.00 60.00 60.00°
Closest atoms and distances in Å follow each position.
Atoms (fractional coordinates):
Ce1 0.0000 0.0000 0.0000  4 Tm 3.31, 4 Er 3.31
Er1 0.2500 0.2500 0.2500  4 Pb 3.31, 4 Ce 3.31
Tm1 0.7500 0.7500 0.7500  4 Pb 3.31, 4 Ce 3.31
Pb1 0.5000 0.5000 0.5000  4 Er 3.31, 4 Tm 3.31

=====

No. 8
Computed, not measured: crystalline CeEr3Pd12 at its relaxed geometry at the PBE level of DFT.

## Properties
Volume   278.2 Å³/cell
Formation energy from the elements   -898 meV/atom

Cell: 4.1166 4.1166 16.4185 Å, 90.00 90.00 90.00°
Closest atoms and distances in Å follow each position.
Atoms (fractional coordinates):
Ce1 0.0000 0.0000 0.0000  12 Pd 2.90-2.91
Er1 0.0000 0.0000 0.2530  12 Pd 2.87-2.95
Er2 0.0000 0.0000 0.5000  12 Pd 2.91
Er3 0.0000 0.0000 0.7470  12 Pd 2.87-2.95
Pd1 0.0000 0.5000 0.1245  8 Pd 2.90-2.91, 2 Ce 2.90, 2 Er 2.95
Pd2 0.0000 0.5000 0.3751  4 Er 2.87-2.91, 8 Pd 2.91
Pd3 0.0000 0.5000 0.6249  4 Er 2.87-2.91, 8 Pd 2.91
Pd4 0.0000 0.5000 0.8755  8 Pd 2.90-2.91, 2 Ce 2.90, 2 Er 2.95
Pd5 0.5000 0.0000 0.1245  8 Pd 2.90-2.91, 2 Ce 2.90, 2 Er 2.95
Pd6 0.5000 0.0000 0.3751  4 Er 2.87-2.91, 8 Pd 2.91
Pd7 0.5000 0.0000 0.6249  4 Er 2.87-2.91, 8 Pd 2.91
Pd8 0.5000 0.0000 0.8755  8 Pd 2.90-2.91, 2 Ce 2.90, 2 Er 2.95
Pd9 0.5000 0.5000 0.0000  8 Pd 2.90, 4 Ce 2.91
Pd10 0.5000 0.5000 0.2501  8 Pd 2.91, 4 Er 2.91
Pd11 0.5000 0.5000 0.5000  8 Pd 2.91, 4 Er 2.91
Pd12 0.5000 0.5000 0.7499  8 Pd 2.91, 4 Er 2.91

=====

No. 9
Computed, not measured: crystalline Ce2ErPd4 at its relaxed geometry at the PBE level of DFT.

## Properties
Volume   173.0 Å³/cell
Formation energy from the elements   -489 meV/atom

Cell: 5.3033 5.3033 7.8185 Å, 114.72 114.72 64.94°
Closest atoms and distances in Å follow each position.
Atoms (fractional coordinates):
Ce1 0.2180 0.2180 0.3226  5 Pd 2.87-3.03
Ce2 0.7820 0.7820 0.6774  5 Pd 2.87-3.03
Er1 0.5000 0.5000 0.0000  6 Pd 2.65-2.90
Pd1 0.0000 0.5000 0.0000  2 Er 2.65, 4 Pd 2.81-2.85
Pd2 0.1610 0.1610 0.6526  3 Pd 2.68-2.81, 1 Ce 2.87, 1 Er 2.90
Pd3 0.5000 0.0000 0.0000  2 Er 2.65, 4 Pd 2.81-2.85
Pd4 0.8390 0.8390 0.3474  3 Pd 2.68-2.81, 1 Ce 2.87, 1 Er 2.90

=====

No. 10
Computed, not measured: crystalline Ce3Er5Pd12 at its relaxed geometry at the PBE level of DFT.

## Properties
Volume   2113.3 Å³/cell
Formation energy from the elements   -306 meV/atom

Cell: 14.0021 14.0021 14.0021 Å, 109.47 109.47 109.47°
Closest atoms and distances in Å follow each position.
Atoms (fractional coordinates):
Ce1 0.1250 0.2500 0.3750  8 Pd 2.84-2.90
Ce2 0.1250 0.3750 0.7500  8 Pd 2.84-2.90
Ce3 0.2500 0.3750 0.1250  8 Pd 2.84-2.90
Ce4 0.2500 0.8750 0.6250  8 Pd 2.84-2.90
Ce5 0.3750 0.1250 0.2500  8 Pd 2.84-2.90
Ce6 0.3750 0.7500 0.1250  8 Pd 2.84-2.90
Ce7 0.6250 0.2500 0.8750  8 Pd 2.84-2.90
Ce8 0.6250 0.8750 0.7500  8 Pd 2.84-2.90
Ce9 0.7500 0.1250 0.3750  8 Pd 2.84-2.90
Ce10 0.7500 0.6250 0.8750  8 Pd 2.84-2.90
Ce11 0.8750 0.6250 0.2500  8 Pd 2.84-2.90
Ce12 0.8750 0.7500 0.6250  8 Pd 2.84-2.90
Er1 0.0000 0.0000 0.0000  6 Pd 2.77
Er2 0.0000 0.0000 0.5000  6 Pd 2.77
Er3 0.0000 0.5000 0.0000  6 Pd 2.77
Er4 0.0000 0.5000 0.5000  6 Pd 2.77
Er5 0.1250 0.7500 0.8750  4 Pd 2.79
Er6 0.1250 0.8750 0.2500  4 Pd 2.79
Er7 0.2500 0.1250 0.8750  4 Pd 2.79
Er8 0.2500 0.6250 0.3750  4 Pd 2.79
Er9 0.3750 0.2500 0.6250  4 Pd 2.79
Er10 0.3750 0.6250 0.7500  4 Pd 2.79
Er11 0.5000 0.0000 0.0000  6 Pd 2.77
Er12 0.5000 0.0000 0.5000  6 Pd 2.77
Er13 0.5000 0.5000 0.0000  6 Pd 2.77
Er14 0.5000 0.5000 0.5000  6 Pd 2.77
Er15 0.6250 0.3750 0.2500  4 Pd 2.79
Er16 0.6250 0.7500 0.3750  4 Pd 2.79
Er17 0.7500 0.3750 0.6250  4 Pd 2.79
Er18 0.7500 0.8750 0.1250  4 Pd 2.79
Er19 0.8750 0.1250 0.7500  4 Pd 2.79
Er20 0.8750 0.2500 0.1250  4 Pd 2.79
Pd1 0.0719 0.2301 0.1484  2 Er 2.77-2.79, 1 Pd 2.80, 2 Ce 2.84-2.90
Pd2 0.0719 0.3418 0.9235  2 Er 2.77-2.79, 1 Pd 2.80, 2 Ce 2.84-2.90
Pd3 0.0765 0.6484 0.4184  2 Er 2.77-2.79, 1 Pd 2.80, 2 Ce 2.84-2.90
Pd4 0.0765 0.9281 0.6582  2 Er 2.77-2.79, 1 Pd 2.80, 2 Ce 2.84-2.90
Pd5 0.0816 0.7301 0.6582  2 Er 2.77-2.79, 1 Pd 2.80, 2 Ce 2.84-2.90
Pd6 0.0816 0.8516 0.4235  2 Er 2.77-2.79, 1 Pd 2.80, 2 Ce 2.84-2.90
Pd7 0.1484 0.0719 0.2301  2 Er 2.77-2.79, 1 Pd 2.80, 2 Ce 2.84-2.90
Pd8 0.1484 0.5765 0.9184  2 Er 2.77-2.79, 1 Pd 2.80, 2 Ce 2.84-2.90
Pd9 0.1582 0.2301 0.5816  2 Er 2.77-2.79, 1 Pd 2.80, 2 Ce 2.84-2.90
Pd10 0.1582 0.4281 0.5765  2 Er 2.77-2.79, 1 Pd 2.80, 2 Ce 2.84-2.90
Pd11 0.2301 0.1484 0.0719  2 Er 2.77-2.79, 1 Pd 2.80, 2 Ce 2.84-2.90
Pd12 0.2301 0.5816 0.1582  2 Er 2.77-2.79, 1 Pd 2.80, 2 Ce 2.84-2.90
Pd13 0.2699 0.3418 0.9184  2 Er 2.77-2.79, 1 Pd 2.80, 2 Ce 2.84-2.90
Pd14 0.2699 0.4281 0.3516  2 Er 2.77-2.79, 1 Pd 2.80, 2 Ce 2.84-2.90
Pd15 0.3418 0.9184 0.2699  2 Er 2.77-2.79, 1 Pd 2.80, 2 Ce 2.84-2.90
Pd16 0.3418 0.9235 0.0719  2 Er 2.77-2.79, 1 Pd 2.80, 2 Ce 2.84-2.90
Pd17 0.3516 0.2699 0.4281  2 Er 2.77-2.79, 1 Pd 2.80, 2 Ce 2.84-2.90
Pd18 0.3516 0.5816 0.9235  2 Er 2.77-2.79, 1 Pd 2.80, 2 Ce 2.84-2.90
Pd19 0.4184 0.0765 0.6484  2 Er 2.77-2.79, 1 Pd 2.80, 2 Ce 2.84-2.90
Pd20 0.4184 0.8418 0.7699  2 Er 2.77-2.79, 1 Pd 2.80, 2 Ce 2.84-2.90
Pd21 0.4235 0.0816 0.8516  2 Er 2.77-2.79, 1 Pd 2.80, 2 Ce 2.84-2.90
Pd22 0.4235 0.8418 0.5719  2 Er 2.77-2.79, 1 Pd 2.80, 2 Ce 2.84-2.90
Pd23 0.4281 0.3516 0.2699  2 Er 2.77-2.79, 1 Pd 2.80, 2 Ce 2.84-2.90
Pd24 0.4281 0.5765 0.1582  2 Er 2.77-2.79, 1 Pd 2.80, 2 Ce 2.84-2.90
Pd25 0.5719 0.4235 0.8418  2 Er 2.77-2.79, 1 Pd 2.80, 2 Ce 2.84-2.90
Pd26 0.5719 0.6484 0.7301  2 Er 2.77-2.79, 1 Pd 2.80, 2 Ce 2.84-2.90
Pd27 0.5765 0.1582 0.4281  2 Er 2.77-2.79, 1 Pd 2.80, 2 Ce 2.84-2.90
Pd28 0.5765 0.9184 0.1484  2 Er 2.77-2.79, 1 Pd 2.80, 2 Ce 2.84-2.90
Pd29 0.5816 0.1582 0.2301  2 Er 2.77-2.79, 1 Pd 2.80, 2 Ce 2.84-2.90
Pd30 0.5816 0.9235 0.3516  2 Er 2.77-2.79, 1 Pd 2.80, 2 Ce 2.84-2.90
Pd31 0.6484 0.4184 0.0765  2 Er 2.77-2.79, 1 Pd 2.80, 2 Ce 2.84-2.90
Pd32 0.6484 0.7301 0.5719  2 Er 2.77-2.79, 1 Pd 2.80, 2 Ce 2.84-2.90
Pd33 0.6582 0.0765 0.9281  2 Er 2.77-2.79, 1 Pd 2.80, 2 Ce 2.84-2.90
Pd34 0.6582 0.0816 0.7301  2 Er 2.77-2.79, 1 Pd 2.80, 2 Ce 2.84-2.90
Pd35 0.7301 0.5719 0.6484  2 Er 2.77-2.79, 1 Pd 2.80, 2 Ce 2.84-2.90
Pd36 0.7301 0.6582 0.0816  2 Er 2.77-2.79, 1 Pd 2.80, 2 Ce 2.84-2.90
Pd37 0.7699 0.4184 0.8418  2 Er 2.77-2.79, 1 Pd 2.80, 2 Ce 2.84-2.90
Pd38 0.7699 0.8516 0.9281  2 Er 2.77-2.79, 1 Pd 2.80, 2 Ce 2.84-2.90
Pd39 0.8418 0.5719 0.4235  2 Er 2.77-2.79, 1 Pd 2.80, 2 Ce 2.84-2.90
Pd40 0.8418 0.7699 0.4184  2 Er 2.77-2.79, 1 Pd 2.80, 2 Ce 2.84-2.90
Pd41 0.8516 0.4235 0.0816  2 Er 2.77-2.79, 1 Pd 2.80, 2 Ce 2.84-2.90
Pd42 0.8516 0.9281 0.7699  2 Er 2.77-2.79, 1 Pd 2.80, 2 Ce 2.84-2.90
Pd43 0.9184 0.1484 0.5765  2 Er 2.77-2.79, 1 Pd 2.80, 2 Ce 2.84-2.90
Pd44 0.9184 0.2699 0.3418  2 Er 2.77-2.79, 1 Pd 2.80, 2 Ce 2.84-2.90
Pd45 0.9235 0.0719 0.3418  2 Er 2.77-2.79, 1 Pd 2.80, 2 Ce 2.84-2.90
Pd46 0.9235 0.3516 0.5816  2 Er 2.77-2.79, 1 Pd 2.80, 2 Ce 2.84-2.90
Pd47 0.9281 0.6582 0.0765  2 Er 2.77-2.79, 1 Pd 2.80, 2 Ce 2.84-2.90
Pd48 0.9281 0.7699 0.8516  2 Er 2.77-2.79, 1 Pd 2.80, 2 Ce 2.84-2.90